# 1
This record from the Alexandria database describes a geometry-optimized TlCu2Ru structure. The functional is GGA-PBE. Values from VASP.

Properties
E ... -18.06 eV per formula unit
Mass density ... 11.81 g/cm³
Symmetry ... I4/mmm, No. 139
Excess energy over the best structure of this formula in the dataset ... 0.405 eV per formula unit
Energy relative to the elements ... 0.444 eV per atom
Crystal system ... tetragonal
Total moment ... 0.00 Bohr magnetons per cell

Cell and atoms, written as Quantum ESPRESSO input:
```
&SYSTEM
  ibrav = 0, nat = 8, ntyp = 3
/
ATOMIC_SPECIES
Tl 204.38 Tl.upf
Cu 63.55 Cu.upf
Ru 101.07 Ru.upf
ATOMIC_POSITIONS angstrom
Tl 0.000 0.000 0.000
Tl 2.015 2.015 3.746
Cu 0.000 2.015 1.873
Cu 0.000 2.015 5.619
Cu 2.015 0.000 1.873
Cu 2.015 0.000 5.619
Ru 0.000 0.000 3.746
Ru 2.015 2.015 0.000
CELL_PARAMETERS angstrom
4.030 0.000 0.000
0.000 4.030 0.000
0.000 0.000 7.492
```

---

# 2
This record from the Alexandria database describes a geometry-optimized PrDy5Er2Sc structure. The functional is GGA-PBE. Values from VASP.

Properties
E ... -41.67 eV per formula unit
Mass density ... 7.79 g/cm³
Symmetry ... Cmc2_1, No. 36
Energy relative to the elements ... 0.176 eV per atom
Crystal system ... orthorhombic
Total moment ... 0.02 Bohr magnetons per cell

Cell and atoms, written as Quantum ESPRESSO input:
```
&SYSTEM
  ibrav = 0, nat = 18, ntyp = 4
/
ATOMIC_SPECIES
Pr 140.91 Pr.upf
Dy 162.50 Dy.upf
Er 167.26 Er.upf
Sc 44.96 Sc.upf
ATOMIC_POSITIONS angstrom
Pr 2.782 8.149 5.177
Pr 2.782 -8.149 0.000
Dy 2.782 9.484 8.145
Dy 2.782 7.433 0.709
Dy 2.782 5.883 7.807
Dy 2.782 5.456 3.827
Dy 2.782 0.360 0.700
Dy 2.782 -0.360 5.877
Dy 2.782 -5.456 9.004
Dy 2.782 -5.883 2.630
Dy 2.782 -7.433 5.885
Dy 2.782 -9.484 2.968
Er 2.782 2.255 8.103
Er 2.782 2.204 3.749
Er 2.782 -2.204 8.926
Er 2.782 -2.255 2.926
Sc 2.782 3.869 0.646
Sc 2.782 -3.869 5.823
CELL_PARAMETERS angstrom
2.782 -9.867 0.000
2.782 9.867 0.000
0.000 0.000 10.353
```

---

mass density of number 2 (PrDy5Er2Sc)?
7.79 g/cm³